No. 1
A geometry-optimized Ho2Au2O5 structure, computed with PBE.

Unit cell a=8.6905 b=3.9607 c=3.9607 alpha=90.00 beta=90.00 gamma=90.00
Closest atoms and distances in Å follow each position.
Fractional positions:
Ho 0.7472 0.5000 0.5000  5 O 2.15-2.17
Au 0.5000 0.0000 0.0000  4 O 2.80
O 0.1504 0.0000 0.5000  2 Ho 2.17, 2 Au 2.37
O 0.8496 0.5000 0.0000  2 Ho 2.17, 2 Au 2.37
Au 0.0000 0.0000 0.0000  8 O 2.37
Ho 0.2528 0.5000 0.5000  5 O 2.15-2.17
O 0.8496 0.0000 0.5000  2 Ho 2.17, 2 Au 2.37
O 0.5000 0.5000 0.5000  2 Ho 2.15
O 0.1504 0.5000 0.0000  2 Ho 2.17, 2 Au 2.37

* E_tot: -5.98 eV per atom
* energy relative to the lowest polymorph listed for this composition: 0.000 eV/atom
* total magnetic moment: 1.43 μB per formula unit

No. 2
A geometry-optimized Ho2AuO4 structure, computed with PBE.

Unit cell a=6.7412 b=6.7412 c=6.7412 alpha=120.00 beta=90.00 gamma=120.00
Closest atoms and distances in Å follow each position.
Fractional positions:
Ho 0.8750 0.2500 0.6250  6 O 2.25
Ho 0.3750 0.7500 0.1250  6 O 2.25
Au 0.0000 0.0000 0.0000  4 O 2.31
O 0.1397 0.2793 0.8604  3 Ho 2.25, 1 Au 2.31
O 0.6103 0.2207 0.3896  3 Ho 2.25, 1 Au 2.31
O 0.1396 0.7207 0.8603  3 Ho 2.25, 1 Au 2.31
Au 0.7500 0.5000 0.2500  4 O 2.31
O 0.1396 0.2793 0.4188  3 Ho 2.25, 1 Au 2.31
O 0.1688 0.7793 0.3896  3 Ho 2.25, 1 Au 2.31
O 0.6104 0.7793 0.3897  3 Ho 2.25, 1 Au 2.31
Ho 0.3750 0.7500 0.6250  6 O 2.25
O 0.6104 0.2207 0.8312  3 Ho 2.25, 1 Au 2.31
Ho 0.3750 0.2500 0.6250  6 O 2.25
O 0.5812 0.7207 0.8604  3 Ho 2.25, 1 Au 2.31

* E_tot: -6.87 eV per atom
* total magnetic moment: 1.00 μB per formula unit

No. 3
A geometry-optimized HoPbAuO3 structure, computed with PBE.

Unit cell a=8.2603 b=8.2603 c=7.7571 alpha=90.00 beta=90.00 gamma=22.64
Closest atoms and distances in Å follow each position.
Fractional positions:
Ho 0.0000 0.0000 0.5000  2 O 2.15
O 0.8729 0.8729 0.0776  1 Ho 2.15, 2 Pb 2.31
O 0.8729 0.8729 0.4224  1 Ho 2.15, 2 Pb 2.31
Pb 0.3143 0.3143 0.2500  6 O 2.19-2.31
Au 0.5890 0.5890 0.2500  1 O 2.17
O 0.7230 0.7230 0.2500  1 Au 2.17, 2 Pb 2.19
Ho 0.0000 0.0000 0.0000  2 O 2.15
O 0.1271 0.1271 0.5776  1 Ho 2.15, 2 Pb 2.31
O 0.2770 0.2770 0.7500  1 Au 2.17, 2 Pb 2.19
O 0.1271 0.1271 0.9224  1 Ho 2.15, 2 Pb 2.31
Au 0.4110 0.4110 0.7500  1 O 2.17
Pb 0.6857 0.6857 0.7500  6 O 2.19-2.31

* E_tot: -5.41 eV per atom
* total magnetic moment: 0.00 μB per formula unit

No. 4
A geometry-optimized HoTeAuO structure, computed with PBE.

Unit cell a=5.6717 b=10.3030 c=5.6855 alpha=90.00 beta=90.00 gamma=90.00
Closest atoms and distances in Å follow each position.
Fractional positions:
Au 0.7500 0.5000 0.2360  2 Te 2.71, 4 Au 2.84
Te 0.0000 0.7236 0.7500  2 Au 2.71
Te 0.5000 0.2764 0.7500  2 Au 2.71
Ho 0.5000 0.8974 0.7500  4 O 2.27
Ho 0.0000 0.8974 0.2500  4 O 2.27
O 0.2500 0.0000 0.4993  4 Ho 2.27
Au 0.2500 0.5000 0.7640  2 Te 2.71, 4 Au 2.84
O 0.7500 0.0000 0.0007  4 Ho 2.27
O 0.7500 0.0000 0.5007  4 Ho 2.27
Te 0.0000 0.2764 0.2500  2 Au 2.71
Te 0.5000 0.7236 0.2500  2 Au 2.71
Au 0.7500 0.5000 0.7360  2 Te 2.71, 4 Au 2.84
Ho 0.0000 0.1026 0.7500  4 O 2.27
O 0.2500 0.0000 0.9993  4 Ho 2.27
Au 0.2500 0.5000 0.2640  2 Te 2.71, 4 Au 2.84
Ho 0.5000 0.1026 0.2500  4 O 2.27

* E_tot: -5.78 eV per atom
* energy relative to the lowest polymorph listed for this composition: 0.001 eV/atom
* total magnetic moment: 0.00 μB per formula unit

No. 5
A geometry-optimized HoTeAuO structure, computed with PBE.

Unit cell a=5.6614 b=5.6612 c=10.0821 alpha=90.00 beta=90.00 gamma=90.00
Closest atoms and distances in Å follow each position.
Fractional positions:
Te 0.2499 0.2499 0.7156  4 Au 2.95-2.96
Au 0.0000 0.5000 0.5000  4 Au 2.83, 4 Te 2.95
Au 0.5000 0.5000 0.5000  4 Au 2.83, 4 Te 2.96
Te 0.7501 0.2499 0.2844  4 Au 2.95-2.96
O 0.5000 0.0000 0.0000  4 Ho 2.27
Au 0.0000 0.0000 0.5000  4 Au 2.83, 4 Te 2.95
O 0.0000 0.0000 0.0000  4 Ho 2.27
Te 0.2499 0.7501 0.2844  4 Au 2.95-2.96
O 0.5000 0.5000 0.0000  4 Ho 2.27
Te 0.7501 0.7501 0.7156  4 Au 2.95-2.96
Ho 0.2499 0.2500 0.1055  4 O 2.27
Ho 0.7501 0.7500 0.1055  4 O 2.27
O 0.0000 0.5000 0.0000  4 Ho 2.27
Ho 0.2499 0.7500 0.8945  4 O 2.27
Ho 0.7501 0.2500 0.8945  4 O 2.27
Au 0.5000 0.0000 0.5000  4 Au 2.83, 4 Te 2.95

* E_tot: -5.74 eV per atom
* energy relative to the lowest polymorph listed for this composition: 0.039 eV/atom
* total magnetic moment: 0.00 μB per formula unit

No. 6
A geometry-optimized HoTeAuO structure, computed with PBE.

Unit cell a=5.6348 b=5.6637 c=10.1838 alpha=90.00 beta=90.00 gamma=90.00
Closest atoms and distances in Å follow each position.
Fractional positions:
O 0.7494 0.7485 0.9975  4 Ho 2.25-2.27
Ho 0.5000 0.5000 0.8938  4 O 2.25-2.27
O 0.2506 0.2515 0.9975  4 Ho 2.25-2.27
Te 0.0000 0.0000 0.2779  2 Au 2.77
Te 0.5000 0.0000 0.7143  4 Au 2.83-3.08
Ho 0.5000 0.0000 0.1034  4 O 2.27
Au 0.7055 0.6606 0.5078  3 Te 2.77-3.08, 5 Au 2.88-2.99
Au 0.7945 0.1606 0.5078  3 Te 2.77-3.08, 5 Au 2.88-2.99
O 0.2494 0.7515 0.9975  4 Ho 2.25-2.27
Te 0.0000 0.5000 0.7143  4 Au 2.83-3.08
Te 0.5000 0.5000 0.2779  2 Au 2.77
Au 0.2055 0.8394 0.5078  3 Te 2.77-3.08, 5 Au 2.88-2.99
Au 0.2945 0.3394 0.5078  3 Te 2.77-3.08, 5 Au 2.88-2.99
O 0.7506 0.2485 0.9975  4 Ho 2.25-2.27
Ho 0.0000 0.0000 0.8938  4 O 2.25-2.27
Ho 0.0000 0.5000 0.1034  4 O 2.27

* E_tot: -5.76 eV per atom
* energy relative to the lowest polymorph listed for this composition: 0.024 eV/atom
* total magnetic moment: 0.00 μB per formula unit